[1]
Material: Zr2CoOs
Method: DFT, GGA-PBEsol
State: optimized geometry

Properties
Theoretical density ... 10.9 g/cm³
Space group ... P4/mmm, No. 123
DFT formation energy ... -414 meV/atom

Lattice parameters (Å, degrees): 3.2001 4.5347 4.5347 90.00 90.00 90.00
Last column: nearest neighbours and their distance in Å.
Sites, in units of the cell vectors:
Zr1 0.0000 0.0000 0.5000  4 Os 2.78, 4 Co 2.78
Zr2 0.0000 0.5000 0.0000  4 Co 2.78, 4 Os 2.78
Co1 0.5000 0.5000 0.5000  8 Zr 2.78
Os1 0.5000 0.0000 0.0000  8 Zr 2.78

=====

[2]
Material: ZrCo2Os
Method: DFT, GGA-PBEsol
State: optimized geometry

Properties
Theoretical density ... 12.4 g/cm³
Space group ... Pm, No. 6
DFT formation energy ... -60 meV/atom

Lattice parameters (Å, degrees): 2.7704 4.0290 4.9995 90.00 105.97 90.00
Last column: nearest neighbours and their distance in Å.
Sites, in units of the cell vectors:
Co1 0.8102 0.0000 0.9942  2 Co 2.43, 2 Os 2.49, 4 Zr 2.61
Zr1 0.2156 0.5000 0.8035  7 Co 2.53-2.67, 2 Zr 2.77
Co2 0.9500 0.5000 0.2777  2 Co 2.43, 3 Zr 2.53-2.67, 4 Os 2.54-2.55
Os1 0.5241 0.0000 0.4246  7 Co 2.49-2.74, 2 Os 2.77

=====

[3]
Material: CoP
Method: DFT, GGA-PBEsol
State: optimized geometry

Properties
Theoretical density ... 6.8 g/cm³
Space group ... Pnma, No. 62
DFT formation energy ... -703 meV/atom

Lattice parameters (Å, degrees): 3.2315 5.0001 5.4673 90.00 90.00 90.00
Last column: nearest neighbours and their distance in Å.
Sites, in units of the cell vectors:
Co1 0.2500 0.0019 0.8046  6 P 2.18-2.32
P1 0.2500 0.6902 0.0828  6 Co 2.18-2.32
P2 0.7500 0.8098 0.5828  6 Co 2.18-2.32
Co2 0.2500 0.5019 0.6954  6 P 2.18-2.32
Co3 0.7500 0.4981 0.3046  6 P 2.18-2.32
P3 0.2500 0.1902 0.4172  6 Co 2.18-2.32
P4 0.7500 0.3098 0.9172  6 Co 2.18-2.32
Co4 0.7500 0.9981 0.1954  6 P 2.18-2.32

=====

no.,magnetic moment (μB/atom)
1,0.22
2,0.11
3,0.00